Model P:
# Hg3Pt | the Alexandria database | meta-GGA SCAN | single point on PBEsol structure
data_Hg3Pt
_cell_length_a 2.975
_cell_length_b 2.975
_cell_length_c 8.987
_cell_angle_alpha 90.00
_cell_angle_beta 90.00
_cell_angle_gamma 90.00
_symmetry_space_group_name_H-M 'P 4/m m m'
_symmetry_Int_Tables_number 123
_symmetry_space_group_name_Hall '-P 4 2'
loop_
_atom_site_label
_atom_site_fract_x
_atom_site_fract_y
_atom_site_fract_z
_atom_site_occupancy
Hg1 0.000 0.000 0.000 1
Hg2 0.500 0.500 0.282 1
Pt1 0.000 0.000 0.500 1
# Fermi-level density of states: 1.448 states/eV per cell

=====

Model Q:
# Hg3Pt | the Alexandria database | meta-GGA SCAN | single point on PBEsol structure
data_Hg3Pt
_cell_length_a 4.235
_cell_length_b 4.235
_cell_length_c 4.235
_cell_angle_alpha 90.00
_cell_angle_beta 90.00
_cell_angle_gamma 90.00
_symmetry_space_group_name_H-M 'P m -3 m'
_symmetry_Int_Tables_number 221
_symmetry_space_group_name_Hall '-P 4 2 3'
loop_
_atom_site_label
_atom_site_fract_x
_atom_site_fract_y
_atom_site_fract_z
_atom_site_occupancy
Hg1 0.000 0.000 0.500 1
Pt1 0.500 0.500 0.500 1
# Fermi-level density of states: 1.489 states/eV per cell

=====

Verdict on stability: model Q comes out at the bottom.

=====

Model P:
# ReHg2Pt | the Alexandria database | meta-GGA SCAN | single point on PBEsol structure
data_ReHg2Pt
_cell_length_a 6.536
_cell_length_b 6.536
_cell_length_c 6.536
_cell_angle_alpha 90.00
_cell_angle_beta 90.00
_cell_angle_gamma 90.00
_symmetry_space_group_name_H-M 'F -4 3 m'
_symmetry_Int_Tables_number 216
_symmetry_space_group_name_Hall 'F -4 2 3'
loop_
_atom_site_label
_atom_site_fract_x
_atom_site_fract_y
_atom_site_fract_z
_atom_site_occupancy
Re1 0.000 0.000 0.000 1
Hg1 0.000 0.000 0.500 1
Hg2 0.250 0.250 0.750 1
Pt1 0.250 0.250 0.250 1
# Fermi-level density of states: 7.039 states/eV per cell

=====

Model Q:
# ReHg2Pt | the Alexandria database | meta-GGA SCAN | single point on PBEsol structure
data_ReHg2Pt
_cell_length_a 5.904
_cell_length_b 8.348
_cell_length_c 2.767
_cell_angle_alpha 90.00
_cell_angle_beta 90.00
_cell_angle_gamma 90.00
_symmetry_space_group_name_H-M 'C m m m'
_symmetry_Int_Tables_number 65
_symmetry_space_group_name_Hall '-C 2 2'
loop_
_atom_site_label
_atom_site_fract_x
_atom_site_fract_y
_atom_site_fract_z
_atom_site_occupancy
Re1 0.000 0.000 0.000 1
Hg1 0.250 0.250 0.500 1
Pt1 0.000 0.500 0.000 1
# Fermi-level density of states: 5.079 states/eV per cell

=====

Verdict on stability: model P comes out at the bottom.

=====

Model P:
# Hg2RuPt | the Alexandria database | meta-GGA SCAN | single point on PBEsol structure
data_Hg2RuPt
_cell_length_a 2.875
_cell_length_b 2.875
_cell_length_c 8.377
_cell_angle_alpha 90.00
_cell_angle_beta 90.00
_cell_angle_gamma 90.00
_symmetry_space_group_name_H-M 'P 4 m m'
_symmetry_Int_Tables_number 99
_symmetry_space_group_name_Hall 'P 4 -2'
loop_
_atom_site_label
_atom_site_fract_x
_atom_site_fract_y
_atom_site_fract_z
_atom_site_occupancy
Hg1 0.000 0.000 0.000 1
Hg2 0.500 0.500 0.299 1
Ru1 0.500 0.500 0.756 1
Pt1 0.000 0.000 0.553 1
# Fermi-level density of states: 3.049 states/eV per cell

=====

Model Q:
# Hg2RuPt | the Alexandria database | meta-GGA SCAN | single point on PBEsol structure
data_Hg2RuPt
_cell_length_a 2.809
_cell_length_b 4.837
_cell_length_c 10.239
_cell_angle_alpha 90.00
_cell_angle_beta 90.00
_cell_angle_gamma 90.00
_symmetry_space_group_name_H-M 'I m m 2'
_symmetry_Int_Tables_number 44
_symmetry_space_group_name_Hall 'I 2 -2'
loop_
_atom_site_label
_atom_site_fract_x
_atom_site_fract_y
_atom_site_fract_z
_atom_site_occupancy
Hg1 0.000 0.000 0.000 1
Hg2 0.000 0.500 0.219 1
Ru1 0.000 0.000 0.475 1
Pt1 0.000 0.500 0.760 1
# Fermi-level density of states: 4.470 states/eV per cell

=====

Verdict on stability: model Q comes out at the bottom.

=====

Model P:
# Hg2RuPt | the Alexandria database | meta-GGA SCAN | single point on PBEsol structure
data_Hg2RuPt
_cell_length_a 4.350
_cell_length_b 4.350
_cell_length_c 3.554
_cell_angle_alpha 90.00
_cell_angle_beta 90.00
_cell_angle_gamma 90.00
_symmetry_space_group_name_H-M 'P 4/m m m'
_symmetry_Int_Tables_number 123
_symmetry_space_group_name_Hall '-P 4 2'
loop_
_atom_site_label
_atom_site_fract_x
_atom_site_fract_y
_atom_site_fract_z
_atom_site_occupancy
Hg1 0.000 0.500 0.000 1
Ru1 0.000 0.000 0.500 1
Pt1 0.500 0.500 0.500 1
# Fermi-level density of states: 3.641 states/eV per cell

=====

Model Q:
# Hg2RuPt | the Alexandria database | meta-GGA SCAN | single point on PBEsol structure
data_Hg2RuPt
_cell_length_a 2.8976
_cell_length_b 2.8976
_cell_length_c 28.3858
_cell_angle_alpha 90.00
_cell_angle_beta 90.00
_cell_angle_gamma 120.00
_symmetry_space_group_name_H-M 'R 3 m'
_symmetry_Int_Tables_number 160
_symmetry_space_group_name_Hall 'R 3 -2"'
loop_
_atom_site_label
_atom_site_fract_x
_atom_site_fract_y
_atom_site_fract_z
_atom_site_occupancy
Hg1 0.0000 0.0000 0.0000 1
Hg2 0.0000 0.0000 0.2381 1
Ru1 0.0000 0.0000 0.4892 1
Pt1 0.0000 0.0000 0.7515 1
# Fermi-level density of states: 9.760 states/eV per cell

=====

Verdict on stability: model P comes out at the bottom.

=====

Model P:
# TcHgPt | the Alexandria database | meta-GGA SCAN | single point on PBEsol structure
data_TcHgPt
_cell_length_a 2.802
_cell_length_b 2.802
_cell_length_c 12.326
_cell_angle_alpha 90.00
_cell_angle_beta 90.00
_cell_angle_gamma 90.00
_symmetry_space_group_name_H-M 'I 4 m m'
_symmetry_Int_Tables_number 107
_symmetry_space_group_name_Hall 'I 4 -2'
loop_
_atom_site_label
_atom_site_fract_x
_atom_site_fract_y
_atom_site_fract_z
_atom_site_occupancy
Tc1 0.000 0.000 0.000 1
Hg1 0.000 0.000 0.676 1
Pt1 0.000 0.000 0.359 1
# Fermi-level density of states: 4.776 states/eV per cell

=====

Model Q:
# TcHgPt | the Alexandria database | meta-GGA SCAN | single point on PBEsol structure
data_TcHgPt
_cell_length_a 2.8372
_cell_length_b 2.8372
_cell_length_c 6.9203
_cell_angle_alpha 90.00
_cell_angle_beta 90.00
_cell_angle_gamma 120.00
_symmetry_space_group_name_H-M 'P 3 m 1'
_symmetry_Int_Tables_number 156
_symmetry_space_group_name_Hall 'P 3 -2"'
loop_
_atom_site_label
_atom_site_fract_x
_atom_site_fract_y
_atom_site_fract_z
_atom_site_occupancy
Tc1 0.0000 0.0000 0.0000 1
Hg1 0.3333 0.6667 0.6515 1
Pt1 0.6667 0.3333 0.2978 1
# Fermi-level density of states: 2.394 states/eV per cell

=====

Verdict on stability: model Q comes out at the bottom.

=====

Model P:
# TlHg2Pt | the Alexandria database | meta-GGA SCAN | single point on PBEsol structure
data_TlHg2Pt
_cell_length_a 3.117
_cell_length_b 3.117
_cell_length_c 8.669
_cell_angle_alpha 90.00
_cell_angle_beta 90.00
_cell_angle_gamma 90.00
_symmetry_space_group_name_H-M 'P 4 m m'
_symmetry_Int_Tables_number 99
_symmetry_space_group_name_Hall 'P 4 -2'
loop_
_atom_site_label
_atom_site_fract_x
_atom_site_fract_y
_atom_site_fract_z
_atom_site_occupancy
Tl1 0.000 0.000 0.000 1
Hg1 0.000 0.000 0.562 1
Hg2 0.500 0.500 0.294 1
Pt1 0.500 0.500 0.773 1
# Fermi-level density of states: 1.535 states/eV per cell

=====

Model Q:
# TlHg2Pt | the Alexandria database | meta-GGA SCAN | single point on PBEsol structure
data_TlHg2Pt
_cell_length_a 3.011
_cell_length_b 5.207
_cell_length_c 5.260
_cell_angle_alpha 90.00
_cell_angle_beta 90.00
_cell_angle_gamma 90.00
_symmetry_space_group_name_H-M 'P m m m'
_symmetry_Int_Tables_number 47
_symmetry_space_group_name_Hall '-P 2 2'
loop_
_atom_site_label
_atom_site_fract_x
_atom_site_fract_y
_atom_site_fract_z
_atom_site_occupancy
Tl1 0.000 0.000 0.000 1
Hg1 0.000 0.500 0.500 1
Hg2 0.500 0.500 0.000 1
Pt1 0.500 0.000 0.500 1
# Fermi-level density of states: 1.019 states/eV per cell

=====

Verdict on stability: model Q comes out at the bottom.